VASP calculation (GGA-PBE) on crystalline Ba2SiPtAu at its relaxed geometry. Values from VASP.

## Properties
Total magnetic moment, μB per formula unit: 0.00
Formation energy (no corrections), eV per atom: -0.575
E, eV/cell: -21.5

```
&SYSTEM
  ibrav = 0, nat = 5, ntyp = 4
/
ATOMIC_SPECIES
Ba 137.33 Ba.upf
Si 28.09 Si.upf
Pt 195.08 Pt.upf
Au 196.97 Au.upf
CELL_PARAMETERS angstrom
-6.1303 -0.9896 -0.3776
-0.1128 -1.5957 6.0119
-0.7703 4.3379 1.1369
ATOMIC_POSITIONS crystal
Ba 0.5000 0.0000 0.0000
Ba 0.0000 0.5000 0.0000
Si 0.0000 0.0000 0.5000
Pt 0.0000 0.0000 0.0000
Au 0.5000 0.5000 0.5000
```



VASP calculation (GGA-PBE) on crystalline Ba6SrPtAu at its relaxed geometry. Values from VASP.

## Properties
Total magnetic moment, μB per formula unit: 0.00
Energy of formation, meV per atom: -304
E, eV/cell: -25.3

```
&SYSTEM
  ibrav = 0, nat = 9, ntyp = 4
/
ATOMIC_SPECIES
Ba 137.33 Ba.upf
Au 196.97 Au.upf
Sr 87.62 Sr.upf
Pt 195.08 Pt.upf
CELL_PARAMETERS angstrom
-5.8610 0.1962 7.3332
-6.1738 -5.3403 1.3359
4.0864 -4.2011 4.8307
ATOMIC_POSITIONS crystal
Ba 0.1103 0.4368 0.1905
Ba 0.5867 0.3261 0.7358
Ba 0.3084 0.0074 0.7096
Ba 0.9646 0.6721 0.6825
Ba 0.6037 0.9567 0.2302
Ba 0.4201 0.6073 0.2653
Au 0.7354 0.5490 0.4602
Sr 0.9300 0.1165 0.2350
Pt 0.3405 0.3282 0.4907
```



VASP calculation (GGA-PBE) on crystalline Ba2TcPtAu at its relaxed geometry. Values from VASP.

## Properties
Total magnetic moment, μB per formula unit: 0.05
Energy of formation, meV per atom: 542
E, eV/cell: -20.8

```
&SYSTEM
  ibrav = 0, nat = 5, ntyp = 4
/
ATOMIC_SPECIES
Au 196.97 Au.upf
Ba 137.33 Ba.upf
Tc 98.00 Tc.upf
Pt 195.08 Pt.upf
CELL_PARAMETERS angstrom
-4.4084 -3.3955 1.6654
2.3143 -0.9608 4.1673
-2.5809 4.5706 2.4870
ATOMIC_POSITIONS crystal
Au 0.0000 0.5000 0.0000
Ba 0.5000 0.0000 0.0000
Ba 0.0000 0.0000 0.5000
Tc 0.0000 0.0000 0.0000
Pt 0.5000 0.5000 0.5000
```